SrScTa2 | PBE | optimized geometry

a = 3.020 Å, b = 3.020 Å, c = 10.224 Å
α = 90.00°, β = 90.00°, γ = 90.03°
Positions (direct):
Sc (0.500, 0.500, 0.250)
Sr (0.500, 0.500, 0.750)
Ta (0.000, 0.000, 0.039)
Ta (0.000, 0.000, 0.461)

Computed properties:
- DFT total energy: -7.29 eV/atom
- Total moment: 0.000 μB/atom
- Symmetry: P4/mmm (123)
- Energy above the most stable polymorph in this dataset: 0.2865 eV/atom
- ΔE_f: 0.643 eV per atom

SrSc4Ta | PBE | optimized geometry

a = 6.078 Å, b = 6.078 Å, c = 6.078 Å
α = 60.00°, β = 60.00°, γ = 60.00°
Site moments in Bohr magnetons follow the coordinates.
Positions (direct):
Sr (0.750, 0.750, 0.750)  0.07
Sc (0.890, 0.370, 0.370)  0.00
Sc (0.370, 0.370, 0.890)  0.00
Sc (0.370, 0.890, 0.370)  0.00
Sc (0.370, 0.370, 0.370)  0.00
Ta (0.000, 0.000, 0.000)  1.09

Computed properties:
- DFT total energy: -5.83 eV/atom
- Total moment: 0.394 μB/atom
- Symmetry: F-43m (216)
- ΔE_f: 0.644 eV per atom

SrScTa2 | PBE | optimized geometry

a = 3.094 Å, b = 3.094 Å, c = 10.206 Å
α = 90.00°, β = 90.00°, γ = 90.00°
Positions (direct):
Sc (0.000, 0.000, 0.446)
Sr (0.500, 0.500, 0.766)
Ta (0.000, 0.000, 0.046)
Ta (0.500, 0.500, 0.242)

Computed properties:
- DFT total energy: -7.38 eV/atom
- Total moment: 0.000 μB/atom
- Symmetry: P4mm (99)
- Energy above the most stable polymorph in this dataset: 0.1917 eV/atom
- ΔE_f: 0.549 eV per atom

SrScTa2 | PBE | optimized geometry

a = 3.105 Å, b = 3.105 Å, c = 10.447 Å
α = 90.00°, β = 90.00°, γ = 107.42°
Positions (direct):
Sc (0.000, 0.000, 0.455)
Sr (0.500, 0.500, 0.767)
Ta (0.000, 0.000, 0.043)
Ta (0.500, 0.500, 0.236)

Computed properties:
- DFT total energy: -7.42 eV/atom
- Total moment: 0.000 μB/atom
- Symmetry: Cmm2 (35)
- Energy above the most stable polymorph in this dataset: 0.1572 eV/atom
- ΔE_f: 0.514 eV per atom

Sr2ZrScTa | PBE | optimized geometry

a = 5.956 Å, b = 5.148 Å, c = 5.956 Å
α = 90.00°, β = 90.00°, γ = 90.00°
Site moments in Bohr magnetons follow the coordinates.
Positions (direct):
Sc (0.500, 0.500, 0.500)  0.42
Sr (0.000, 0.000, 0.500)  0.03
Sr (0.500, 0.000, 0.000)  0.02
Zr (0.000, 0.500, 0.000)  0.01
Ta (0.000, 0.000, 0.000)  0.14

Computed properties:
- DFT total energy: -4.91 eV/atom
- Total moment: 0.197 μB/atom
- Symmetry: P4/mmm (123)
- ΔE_f: 1.108 eV per atom

SrTb2Sc | PBE | optimized geometry

a = 3.898 Å, b = 3.898 Å, c = 9.192 Å
α = 90.00°, β = 90.00°, γ = 90.00°
Positions (direct):
Sc (0.500, 0.500, 0.000)
Sr (0.500, 0.500, 0.500)
Tb (0.000, 0.000, 0.807)
Tb (0.000, 0.000, 0.193)

Computed properties:
- DFT total energy: -4.21 eV/atom
- Total moment: 0.000 μB/atom
- Symmetry: P4/mmm (123)
- Energy above the most stable polymorph in this dataset: 0.0000 eV/atom
- ΔE_f: 0.109 eV per atom